# 1
# NaSr2TeO6 (GGA-PBE, relaxed)
data_NaSr2TeO6
_symmetry_space_group_name_H-M 'P 1 21/c 1'
_symmetry_Int_Tables_number 14
_symmetry_space_group_name_Hall '-P 2ybc'
_cell_length_a 5.8487
_cell_length_b 6.0450
_cell_length_c 10.0571
_cell_angle_alpha 90.00
_cell_angle_beta 124.69
_cell_angle_gamma 90.00
loop_
_atom_site_label
_atom_site_type_symbol
_atom_site_fract_x
_atom_site_fract_y
_atom_site_fract_z
Na1 Na 0.0000 0.0000 0.0000
Sr1 Sr 0.2319 0.0517 0.7464
Te1 Te 0.5000 0.0000 0.5000
O1 O 0.1924 0.1826 0.4601
O2 O 0.2677 0.7375 0.4448
O3 O 0.3671 0.0364 0.2749
# density of states at the Fermi level: 0.794 states/eV/atom
# DFT total energy: -113.91 eV/cell



# 2
# NaSrTeO4 (GGA-PBE, relaxed)
data_NaSrTeO4
_symmetry_space_group_name_H-M 'P 1 21/m 1'
_symmetry_Int_Tables_number 11
_symmetry_space_group_name_Hall '-P 2yb'
_cell_length_a 6.0993
_cell_length_b 6.2622
_cell_length_c 6.7657
_cell_angle_alpha 90.00
_cell_angle_beta 104.82
_cell_angle_gamma 90.00
loop_
_atom_site_label
_atom_site_type_symbol
_atom_site_fract_x
_atom_site_fract_y
_atom_site_fract_z
Na1 Na 0.1615 0.2500 0.0104
Sr1 Sr 0.2426 0.2500 0.5391
Te1 Te 0.2833 0.7500 0.8465
O1 O 0.0635 0.5221 0.7423
O2 O 0.4691 0.7500 0.6624
O3 O 0.4856 0.2500 0.8931
# density of states at the Fermi level: 0.280 states/eV/atom
# DFT total energy: -74.63 eV/cell



# 3
# NaSrTe2O6 (GGA-PBE, relaxed)
data_NaSrTe2O6
_symmetry_space_group_name_H-M 'C 1 2/c 1'
_symmetry_Int_Tables_number 15
_symmetry_space_group_name_Hall '-C 2yc'
_cell_length_a 11.8265
_cell_length_b 8.8083
_cell_length_c 7.6611
_cell_angle_alpha 90.00
_cell_angle_beta 122.58
_cell_angle_gamma 90.00
loop_
_atom_site_label
_atom_site_type_symbol
_atom_site_fract_x
_atom_site_fract_y
_atom_site_fract_z
Na1 Na 0.0000 0.2169 0.2500
Sr1 Sr 0.0000 0.1750 0.7500
Te1 Te 0.1969 0.4906 0.7079
O1 O 0.1032 0.3134 0.5722
O2 O 0.1221 0.0625 0.1649
O3 O 0.1795 0.4118 0.9610
# density of states at the Fermi level: 0.252 states/eV/atom
# DFT total energy: -218.08 eV/cell



# 4
# NaSr2TiO (GGA-PBE, relaxed)
data_NaSr2TiO
_symmetry_space_group_name_H-M 'P 4/m m m'
_symmetry_Int_Tables_number 123
_symmetry_space_group_name_Hall '-P 4 2'
_cell_length_a 5.1299
_cell_length_b 5.1299
_cell_length_c 5.2001
_cell_angle_alpha 90.00
_cell_angle_beta 90.00
_cell_angle_gamma 90.00
loop_
_atom_site_label
_atom_site_type_symbol
_atom_site_fract_x
_atom_site_fract_y
_atom_site_fract_z
Na1 Na 0.0000 0.0000 0.0000
Sr1 Sr 0.0000 0.5000 0.5000
Ti1 Ti 0.5000 0.5000 0.0000
O1 O 0.0000 0.0000 0.5000
# density of states at the Fermi level: 1.457 states/eV/atom
# DFT total energy: -19.74 eV/cell



Question: The highest density of states at the Fermi level belongs to which entry?
Answer: NaSr2TiO



Question: The highest density of states at the Fermi level belongs to which entry?
Answer: NaSr2TiO



Please write out number 3 again, unchanged.
# NaSrTe2O6 (GGA-PBE, relaxed)
data_NaSrTe2O6
_symmetry_space_group_name_H-M 'C 1 2/c 1'
_symmetry_Int_Tables_number 15
_symmetry_space_group_name_Hall '-C 2yc'
_cell_length_a 11.8265
_cell_length_b 8.8083
_cell_length_c 7.6611
_cell_angle_alpha 90.00
_cell_angle_beta 122.58
_cell_angle_gamma 90.00
loop_
_atom_site_label
_atom_site_type_symbol
_atom_site_fract_x
_atom_site_fract_y
_atom_site_fract_z
Na1 Na 0.0000 0.2169 0.2500
Sr1 Sr 0.0000 0.1750 0.7500
Te1 Te 0.1969 0.4906 0.7079
O1 O 0.1032 0.3134 0.5722
O2 O 0.1221 0.0625 0.1649
O3 O 0.1795 0.4118 0.9610
# density of states at the Fermi level: 0.252 states/eV/atom
# DFT total energy: -218.08 eV/cell



What did the first record say?
# NaSr2TeO6 (GGA-PBE, relaxed)
data_NaSr2TeO6
_symmetry_space_group_name_H-M 'P 1 21/c 1'
_symmetry_Int_Tables_number 14
_symmetry_space_group_name_Hall '-P 2ybc'
_cell_length_a 5.8487
_cell_length_b 6.0450
_cell_length_c 10.0571
_cell_angle_alpha 90.00
_cell_angle_beta 124.69
_cell_angle_gamma 90.00
loop_
_atom_site_label
_atom_site_type_symbol
_atom_site_fract_x
_atom_site_fract_y
_atom_site_fract_z
Na1 Na 0.0000 0.0000 0.0000
Sr1 Sr 0.2319 0.0517 0.7464
Te1 Te 0.5000 0.0000 0.5000
O1 O 0.1924 0.1826 0.4601
O2 O 0.2677 0.7375 0.4448
O3 O 0.3671 0.0364 0.2749
# density of states at the Fermi level: 0.794 states/eV/atom
# DFT total energy: -113.91 eV/cell